Record 1
Density functional theory data (PBE) for an optimized crystal structure of BaLu2Se.

Cell lengths 3.7672, 3.7672, 10.9183 Å; angles 80.07, 80.07, 60.00 degrees
Site moments in Bohr magnetons follow the coordinates.
Positions (direct):
Lu 0.8874 0.8874 0.3378  0.02
Lu 0.1126 0.1126 0.6622  0.02
Se 0.5000 0.5000 0.5000  0.00
Ba 0.0000 0.0000 0.0000  0.19

Computed properties:
- SG: R-3m
- DOS(E_F): 0.9361 states/eV/atom
- Calculated volume: 32.9 Å³ per atom
- Total DFT energy (no corrections): -4.123 eV/atom
- Energy relative to the elements, uncorrected: -0.510 eV per atom
- Size of the total moment: 0.136 μB per atom

=====

Record 2
Density functional theory data (PBE) for an optimized crystal structure of BaLu2Se4.

Cell lengths 4.1445, 12.7455, 14.9954 Å; angles 90.00, 90.00, 90.00 degrees
Positions (direct):
Lu 0.2500 0.9386 0.1089
Ba 0.7500 0.7395 0.8341
Se 0.7500 0.4740 0.7836
Ba 0.7500 0.2395 0.6659
Se 0.7500 0.8770 0.4751
Se 0.7500 0.9740 0.7164
Se 0.2500 0.5260 0.2164
Se 0.2500 0.9151 0.9244
Lu 0.7500 0.5614 0.6089
Lu 0.7500 0.0797 0.4009
Se 0.2500 0.6230 0.9751
Se 0.7500 0.0849 0.0756
Lu 0.2500 0.9203 0.5991
Se 0.2500 0.1230 0.5249
Se 0.7500 0.3770 0.0249
Lu 0.2500 0.4203 0.9009
Se 0.2500 0.2050 0.8426
Se 0.7500 0.7950 0.1574
Lu 0.7500 0.5797 0.0991
Se 0.2500 0.7050 0.6574
Se 0.7500 0.2950 0.3426
Se 0.2500 0.0260 0.2836
Lu 0.7500 0.0614 0.8911
Ba 0.2500 0.2605 0.1659
Lu 0.2500 0.4386 0.3911
Se 0.7500 0.5849 0.4244
Se 0.2500 0.4151 0.5756
Ba 0.2500 0.7605 0.3341

Computed properties:
- SG: Pnma
- Calculated volume: 28.3 Å³ per atom
- Total DFT energy (no corrections): -5.512 eV/atom
- Energy relative to the elements, uncorrected: -1.954 eV per atom
- Size of the total moment: 0.000 μB per atom

=====

Record 3
Density functional theory data (PBE) for an optimized crystal structure of Ba2SrLu.

Cell lengths 4.4120, 4.4120, 10.2801 Å; angles 90.00, 90.00, 90.00 degrees
Positions (direct):
Ba 0.0000 0.0000 0.7861
Lu 0.5000 0.5000 0.0000
Ba 0.0000 0.0000 0.2139
Sr 0.5000 0.5000 0.5000

Computed properties:
- SG: P4/mmm
- DOS(E_F): 1.5435 states/eV/atom
- Calculated volume: 50.0 Å³ per atom
- Total DFT energy (no corrections): -2.332 eV/atom
- Size of the total moment: 0.000 μB per atom

=====

Record 4
Density functional theory data (PBE) for an optimized crystal structure of BaSr2Lu.

Cell lengths 4.2826, 4.2826, 10.4303 Å; angles 90.00, 90.00, 90.00 degrees
Positions (direct):
Sr 0.0000 0.0000 0.2079
Sr 0.0000 0.0000 0.7921
Lu 0.5000 0.5000 0.0000
Ba 0.5000 0.5000 0.5000

Computed properties:
- SG: P4/mmm
- DOS(E_F): 1.0465 states/eV/atom
- Calculated volume: 47.8 Å³ per atom
- Total DFT energy (no corrections): -2.275 eV/atom
- Size of the total moment: 0.000 μB per atom

=====

Record 5
Density functional theory data (PBE) for an optimized crystal structure of BaTbLu.

Cell lengths 3.7655, 3.7655, 8.4929 Å; angles 102.81, 102.81, 90.00 degrees
Positions (direct):
Tb 0.3173 0.3173 0.6347
Ba 0.0004 0.0004 0.0009
Lu 0.6822 0.6822 0.3644

Computed properties:
- SG: I4mm
- DOS(E_F): 1.7948 states/eV/atom
- Calculated volume: 38.1 Å³ per atom
- Total DFT energy (no corrections): -3.481 eV/atom
- Size of the total moment: 0.004 μB per atom

=====

Record 6
Density functional theory data (PBE) for an optimized crystal structure of BaLu3Tc.

Cell lengths 5.4486, 5.4486, 5.4486 Å; angles 90.00, 90.00, 90.00 degrees
Positions (direct):
Lu 0.0000 0.5000 0.0000
Lu 0.0000 0.0000 0.5000
Tc 0.0000 0.0000 0.0000
Ba 0.5000 0.5000 0.5000
Lu 0.5000 0.0000 0.0000

Computed properties:
- SG: Pm-3m
- DOS(E_F): 0.7521 states/eV/atom
- Calculated volume: 32.4 Å³ per atom
- Total DFT energy (no corrections): -5.126 eV/atom
- Size of the total moment: 0.000 μB per atom

=====

Record 7
Density functional theory data (PBE) for an optimized crystal structure of BaLu2Th.

Cell lengths 3.6607, 3.6607, 10.6618 Å; angles 90.00, 90.00, 90.00 degrees
Positions (direct):
Th 0.5000 0.5000 0.0000
Lu 0.0000 0.0000 0.2115
Lu 0.0000 0.0000 0.7885
Ba 0.5000 0.5000 0.5000

Computed properties:
- SG: P4/mmm
- DOS(E_F): 1.2554 states/eV/atom
- Offset from the most stable computed form: 0 meV/atom
- Calculated volume: 35.7 Å³ per atom
- Total DFT energy (no corrections): -4.457 eV/atom
- Size of the total moment: 0.000 μB per atom

=====

Record 8
Density functional theory data (PBE) for an optimized crystal structure of BaLu2Th.

Cell lengths 3.5877, 3.5877, 12.8135 Å; angles 81.95, 81.95, 60.00 degrees
Positions (direct):
Ba 0.0000 0.0000 0.0000
Th 0.5000 0.5000 0.5000
Lu 0.9050 0.9050 0.2849
Lu 0.0950 0.0950 0.7151

Computed properties:
- SG: R-3m
- DOS(E_F): 1.5873 states/eV/atom
- Offset from the most stable computed form: 93 meV/atom
- Calculated volume: 35.2 Å³ per atom
- Total DFT energy (no corrections): -4.364 eV/atom
- Size of the total moment: 0.015 μB per atom

=====

Record 9
Density functional theory data (PBE) for an optimized crystal structure of BaLuTl2.

Cell lengths 3.9211, 5.7732, 5.7732 Å; angles 90.00, 90.00, 90.00 degrees
Positions (direct):
Lu 0.5000 0.5000 0.5000
Ba 0.5000 0.0000 0.0000
Tl 0.0000 0.5000 0.0000
Tl 0.0000 0.0000 0.5000

Computed properties:
- SG: P4/mmm
- DOS(E_F): 0.8129 states/eV/atom
- Calculated volume: 32.7 Å³ per atom
- Total DFT energy (no corrections): -2.971 eV/atom
- Size of the total moment: 0.000 μB per atom

=====

Record 10
Density functional theory data (PBE) for an optimized crystal structure of BaLu2Zn.

Cell lengths 3.6096, 3.6096, 9.5494 Å; angles 90.00, 90.00, 90.00 degrees
Positions (direct):
Ba 0.5000 0.5000 0.5000
Zn 0.5000 0.5000 0.0000
Lu 0.0000 0.0000 0.1717
Lu 0.0000 0.0000 0.8283

Computed properties:
- SG: P4/mmm
- DOS(E_F): 1.3002 states/eV/atom
- Offset from the most stable computed form: 0 meV/atom
- Calculated volume: 31.1 Å³ per atom
- Total DFT energy (no corrections): -3.063 eV/atom
- Size of the total moment: 0.000 μB per atom

=====

Record 11
Density functional theory data (PBE) for an optimized crystal structure of BaLuZn4.

Cell lengths 5.6814, 5.6814, 5.6814 Å; angles 60.00, 60.00, 60.00 degrees
Positions (direct):
Zn 0.1212 0.6263 0.6263
Zn 0.6263 0.6263 0.6263
Ba 0.2500 0.2500 0.2500
Zn 0.6263 0.6263 0.1212
Lu 0.0000 0.0000 0.0000
Zn 0.6263 0.1212 0.6263

Computed properties:
- SG: F-43m
- DOS(E_F): 1.1885 states/eV/atom
- Calculated volume: 21.6 Å³ per atom
- Total DFT energy (no corrections): -2.027 eV/atom
- Size of the total moment: 0.000 μB per atom

=====

Record 12
Density functional theory data (PBE) for an optimized crystal structure of BaLu2Zn.

Cell lengths 3.5545, 3.5545, 11.6677 Å; angles 81.24, 81.24, 60.00 degrees
Site moments in Bohr magnetons follow the coordinates.
Positions (direct):
Zn 0.5000 0.5000 0.5000  0.00
Ba 0.0000 0.0000 0.0000  0.08
Lu 0.1052 0.1052 0.6843  0.00
Lu 0.8948 0.8948 0.3157  0.00

Computed properties:
- SG: R-3m
- DOS(E_F): 0.9122 states/eV/atom
- Offset from the most stable computed form: 179 meV/atom
- Calculated volume: 31.4 Å³ per atom
- Total DFT energy (no corrections): -2.883 eV/atom
- Size of the total moment: 0.041 μB per atom